(1)
# SrV2As (PBE, optimized geometry)
# Calculated density   4.8 g/cm3
# DOS at the Fermi energy   1.144 states/eV per atom
# Calculated formation energy   0.221 eV/atom
# VASP energy   -5.921 eV per atom
# Volume   92.1 Å³/f.u.
data_SrV2As
_chemical_formula_sum 'Sr4 V8 As4'
_cell_length_a 4.4641
_cell_length_b 4.4641
_cell_length_c 18.4901
_cell_angle_alpha 90.00
_cell_angle_beta 90.00
_cell_angle_gamma 90.00
_space_group_name_H-M_alt 'I -4 2 d'
_space_group_IT_number 122
_space_group_name_Hall 'I -4 2bw'
loop_
_atom_site_label
_atom_site_fract_x
_atom_site_fract_y
_atom_site_fract_z
_atom_site_occupancy
Sr1 0.0000 0.0000 0.0000 1
V1 0.0131 0.7500 0.6250 1
As1 0.0000 0.0000 0.5000 1

***

(2)
# TeIrOs4 (PBE, optimized geometry)
# Energy relative to the elements, uncorrected   1.11 eV/atom
# Calculated density   17.8 g/cm3
# DOS at the Fermi energy   1.596 states/eV per atom
# VASP energy   -8.373 eV per atom
# Volume   100.8 Å³/f.u.
data_TeIrOs4
_chemical_formula_sum 'Te4 Ir4 Os16'
_cell_length_a 7.3874
_cell_length_b 7.3874
_cell_length_c 7.3874
_cell_angle_alpha 90.00
_cell_angle_beta 90.00
_cell_angle_gamma 90.00
_space_group_name_H-M_alt 'F -4 3 m'
_space_group_IT_number 216
_space_group_name_Hall 'F -4 2 3'
loop_
_atom_site_label
_atom_site_fract_x
_atom_site_fract_y
_atom_site_fract_z
_atom_site_occupancy
Te1 0.0000 0.0000 0.0000 1
Ir1 0.2500 0.2500 0.7500 1
Os1 0.1235 0.1235 0.3765 1

***

(3)
# PuMg2InPb2 (PBE, optimized geometry)
# Calculated density   8.7 g/cm3
# DOS at the Fermi energy   2.284 states/eV per atom
# Calculated formation energy   -0.099 eV/atom
# VASP energy   -4.712 eV per atom
# Volume   156.0 Å³/f.u.
data_PuMg2InPb2
_chemical_formula_sum 'Pu2 Mg4 In2 Pb4'
_cell_length_a 6.5762
_cell_length_b 9.3689
_cell_length_c 5.0650
_cell_angle_alpha 90.00
_cell_angle_beta 90.00
_cell_angle_gamma 90.00
_space_group_name_H-M_alt 'P n n m'
_space_group_IT_number 58
loop_
_space_group_symop_operation_xyz
'x,y,z'
'-x,-y,-z'
'-x,-y,z'
'x,y,-z'
'x+1/2,-y+1/2,-z+1/2'
'-x+1/2,y+1/2,z+1/2'
'-x+1/2,y+1/2,-z+1/2'
'x+1/2,-y+1/2,z+1/2'
loop_
_atom_site_label
_atom_site_fract_x
_atom_site_fract_y
_atom_site_fract_z
_atom_site_occupancy
Pu1 0.0000 0.0000 0.0000 1
Mg1 0.2224 0.3393 0.0000 1
In1 0.0000 0.5000 0.5000 1
Pb1 0.2290 0.1712 0.5000 1

***

(4)
# CdCo2IrRu (PBE, optimized geometry)
# Calculated density   8.7 g/cm3
# DOS at the Fermi energy   1.176 states/eV per atom
# Calculated formation energy   2.189 eV/atom
# VASP energy   -4.463 eV per atom
# Volume   100.4 Å³/f.u.
data_CdCo2IrRu
_chemical_formula_sum 'Cd1 Co2 Ir1 Ru1'
_cell_length_a 4.5477
_cell_length_b 4.5477
_cell_length_c 4.8564
_cell_angle_alpha 90.00
_cell_angle_beta 90.00
_cell_angle_gamma 90.00
_space_group_name_H-M_alt 'P 4/m m m'
_space_group_IT_number 123
_space_group_name_Hall '-P 4 2'
loop_
_atom_site_label
_atom_site_fract_x
_atom_site_fract_y
_atom_site_fract_z
_atom_site_occupancy
Cd1 0.0000 0.0000 0.0000 1
Co1 0.0000 0.5000 0.0000 1
Ir1 0.0000 0.0000 0.5000 1
Ru1 0.5000 0.5000 0.5000 1